Entry from the Alexandria database: a relaxed structure of LaMg2As (PBE-GGA).

Cell: 3.8342 3.8342 6.8346 Å, 90.00 90.00 90.00°
Closest atoms and distances in Å follow each position.
Positions (direct):
La  0.5000  0.5000  0.7138  1 Mg 3.15, 4 As 3.15
Mg  0.0000  0.0000  0.0554  1 As 2.89, 4 Mg 3.03
Mg  0.5000  0.5000  0.2529  4 Mg 3.03, 4 As 3.12, 1 La 3.15
As  0.0000  0.0000  0.4778  5 Mg 2.89-3.12, 4 La 3.15

## Properties
- symmetry = P4mm
- formation energy from the elements (kJ per mole of atoms) = -41.7